(1)
VASP calculation (PBE) on crystalline Np2Ge5Pd3 at its relaxed geometry.

Cell: 10.248 12.035 6.128 Å, 90.00 90.00 90.00°
Space group Ibam (No. 72)
Symmetry-distinct sites (fractional):
Np1 0.230 0.132 0.000
Ge1 0.000 0.000 0.250
Ge2 0.000 0.279 0.250
Ge3 0.162 0.398 0.000
Pd1 0.000 0.500 0.250
Pd2 0.106 0.142 0.500

Computed properties:
Its calculated formation energy is -0.3634 eV per atom. The spin magnetization comes out at 32.87 μB per cell. Its electronic total energy is -6.8181 eV per atom.

=====

(2)
VASP calculation (PBE) on crystalline Np2Ge3Pd2 at its relaxed geometry.

Cell: 4.289 18.212 7.012 Å, 90.00 90.00 90.00°
Space group Cmcm (No. 63)
Symmetry-distinct sites (fractional):
Np1 0.000 0.050 0.250
Np2 0.000 0.152 0.750
Ge1 0.000 0.218 0.250
Ge2 0.000 0.437 0.064
Pd1 0.000 0.303 0.548

Computed properties:
Its calculated formation energy is -0.3715 eV per atom. The spin magnetization comes out at 32.04 μB per cell. Its electronic total energy is -7.5313 eV per atom.

=====

(3)
VASP calculation (PBE) on crystalline NpGe3Pd10 at its relaxed geometry.

Cell: 12.467 12.467 12.467 Å, 90.00 90.00 90.00°
Space group Fm-3m (No. 225)
Symmetry-distinct sites (fractional):
Np1 0.250 0.250 0.250
Ge1 0.000 0.000 0.235
Pd1 0.000 0.174 0.326
Pd2 0.119 0.119 0.119

Computed properties:
Its calculated formation energy is -0.4032 eV per atom. The spin magnetization comes out at 27.89 μB per cell. Its electronic total energy is -6.0261 eV per atom.

=====

(4)
VASP calculation (PBE) on crystalline Np3Ge4Pd7 at its relaxed geometry.

Cell: 15.754 4.090 9.750 Å, 90.00 125.70 90.00°
Space group C2/m (No. 12)
Symmetry-distinct sites (fractional):
Np1 0.000 0.000 0.000
Np2 0.178 0.500 0.674
Ge1 0.108 0.000 0.828
Ge2 0.159 0.500 0.257
Pd1 0.000 0.000 0.500
Pd2 0.011 0.500 0.295
Pd3 0.169 0.000 0.431
Pd4 0.192 0.500 0.028

Computed properties:
Its calculated formation energy is -0.4534 eV per atom. The spin magnetization comes out at 23.65 μB per cell. Its electronic total energy is -7.1421 eV per atom.

=====

(5)
VASP calculation (PBE) on crystalline NpGe4Pd6 at its relaxed geometry.

Cell: 7.4160 7.4160 3.8878 Å, 90.00 90.00 120.00°
Space group P-6m2 (No. 187)
Symmetry-distinct sites (fractional):
Np1 0.0000 0.0000 0.0000
Ge1 0.3333 0.6667 0.0000
Ge2 0.3781 0.1890 0.5000
Pd1 0.1999 0.3998 0.5000
Pd2 0.5357 0.0715 0.0000

Computed properties:
Its calculated formation energy is -0.5048 eV per atom. The spin magnetization comes out at 4.63 μB per cell. Its electronic total energy is -6.1927 eV per atom.

=====

(6)
VASP calculation (PBE) on crystalline Np2Ge7Pd12 at its relaxed geometry.

Cell: 10.3034 10.3034 3.8762 Å, 90.00 90.00 120.00°
Space group P-3 (No. 147)
Symmetry-distinct sites (fractional):
Np1 0.3333 0.6667 0.2462
Ge1 0.0000 0.0000 0.5000
Ge2 0.1226 0.7121 0.7485
Pd1 0.0577 0.4397 0.7510
Pd2 0.1097 0.2580 0.2463

Computed properties:
Its calculated formation energy is -0.5101 eV per atom. The spin magnetization comes out at 8.60 μB per cell. Its electronic total energy is -6.2490 eV per atom.

=====

(7)
VASP calculation (PBE) on crystalline NpGe2Pd2 at its relaxed geometry.

Cell: 4.201 4.201 10.522 Å, 90.00 90.00 90.00°
Space group I4/mmm (No. 139)
Symmetry-distinct sites (fractional):
Np1 0.000 0.000 0.000
Ge1 0.000 0.000 0.384
Pd1 0.000 0.500 0.250

Computed properties:
Its calculated formation energy is -0.4355 eV per atom. The spin magnetization comes out at 7.93 μB per cell. Its electronic total energy is -6.9477 eV per atom.

=====

(8)
VASP calculation (PBE) on crystalline NpGePd6 at its relaxed geometry.

Cell: 5.4805 5.4805 18.9844 Å, 90.00 90.00 120.00°
Space group R-3m (No. 166, hexagonal axes)
Symmetry-distinct sites (fractional):
Np1 0.0000 0.0000 0.0000
Ge1 0.0000 0.0000 0.5000
Pd1 0.0078 0.5039 0.9287

Computed properties:
Its calculated formation energy is -0.0914 eV per atom. The spin magnetization comes out at 10.48 μB per cell. Its electronic total energy is -6.1808 eV per atom.

=====

(9)
VASP calculation (PBE) on crystalline Np2Ge4Pd3 at its relaxed geometry.

Cell: 5.788 15.035 7.582 Å, 90.00 90.00 90.00°
Space group Cmce (No. 64)
Symmetry-distinct sites (fractional):
Np1 0.000 0.103 0.091
Ge1 0.000 0.180 0.472
Ge2 0.250 0.058 0.750
Pd1 0.000 0.000 0.500
Pd2 0.250 0.226 0.750

Computed properties:
Its calculated formation energy is -0.4096 eV per atom. The spin magnetization comes out at 32.39 μB per cell. Its electronic total energy is -7.0684 eV per atom.

=====

(10)
VASP calculation (PBE) on crystalline NpGePd at its relaxed geometry.

Cell: 7.090 4.280 11.582 Å, 90.00 90.78 90.00°
Space group P2_1/m (No. 11)
Symmetry-distinct sites (fractional):
Np1 0.006 0.250 0.377
Np2 0.141 0.250 0.064
Np3 0.483 0.250 0.301
Ge1 0.204 0.750 0.238
Ge2 0.277 0.750 0.902
Ge3 0.291 0.250 0.576
Pd1 0.161 0.250 0.788
Pd2 0.322 0.750 0.452
Pd3 0.484 0.750 0.090

Computed properties:
Its calculated formation energy is -0.3833 eV per atom. The spin magnetization comes out at 7.85 μB per cell. Its electronic total energy is -7.9669 eV per atom.

=====

(11)
VASP calculation (PBE) on crystalline NpGe4Pd4 at its relaxed geometry.

Cell: 6.231 6.231 8.399 Å, 90.00 90.00 90.00°
Space group P4_2/nmc (No. 137, origin choice 2)
Symmetry-distinct sites (fractional):
Np1 0.250 0.750 0.250
Ge1 0.029 0.250 0.052
Pd1 0.027 0.250 0.347

Computed properties:
Its calculated formation energy is -0.3137 eV per atom. The spin magnetization comes out at 9.24 μB per cell. Its electronic total energy is -6.1116 eV per atom.

=====

(12)
VASP calculation (PBE) on crystalline Np3Ge4Pd2 at its relaxed geometry.

Cell: 10.350 4.639 8.529 Å, 90.00 124.26 90.00°
Space group C2/m (No. 12)
Symmetry-distinct sites (fractional):
Np1 0.000 0.000 0.000
Np2 0.015 0.000 0.669
Ge1 0.161 0.500 0.954
Ge2 0.185 0.500 0.605
Pd1 0.166 0.500 0.282

Computed properties:
Its calculated formation energy is -0.3269 eV per atom. The spin magnetization comes out at 22.76 μB per cell. Its electronic total energy is -7.8466 eV per atom.

=====

(13)
VASP calculation (PBE) on crystalline NpGe2Pd3 at its relaxed geometry.

Cell: 16.881 4.013 10.072 Å, 90.00 108.08 90.00°
Space group C2/m (No. 12)
Symmetry-distinct sites (fractional):
Np1 0.000 0.000 0.000
Np2 0.158 0.000 0.701
Ge1 0.042 0.500 0.783
Ge2 0.137 0.500 0.458
Ge3 0.199 0.000 0.135
Pd1 0.000 0.500 0.500
Pd2 0.041 0.000 0.332
Pd3 0.118 0.500 0.197
Pd4 0.181 0.500 0.967
Pd5 0.217 0.000 0.394

Computed properties:
Its calculated formation energy is -0.4824 eV per atom. The spin magnetization comes out at 24.42 μB per cell. Its electronic total energy is -6.7747 eV per atom.

=====

(14)
VASP calculation (PBE) on crystalline NpGe2Pd5 at its relaxed geometry.

Cell: 3.889 7.294 9.871 Å, 90.00 90.00 90.00°
Space group Immm (No. 71)
Symmetry-distinct sites (fractional):
Np1 0.000 0.000 0.000
Ge1 0.000 0.500 0.252
Pd1 0.000 0.195 0.355
Pd2 0.000 0.500 0.000

Computed properties:
Its calculated formation energy is -0.4325 eV per atom. The spin magnetization comes out at 8.59 μB per cell. Its electronic total energy is -6.4500 eV per atom.

=====

(15)
VASP calculation (PBE) on crystalline Np4Ge8Pd at its relaxed geometry.

Cell: 4.018 4.235 15.655 Å, 90.00 90.00 90.00°
Space group Pmm2 (No. 25)
Symmetry-distinct sites (fractional):
Np1 0.000 0.000 0.000
Np2 0.000 0.500 0.476
Np3 0.500 0.000 0.797
Np4 0.500 0.500 0.288
Ge1 0.000 0.000 0.322
Ge2 0.000 0.000 0.614
Ge3 0.000 0.500 0.142
Ge4 0.000 0.500 0.860
Ge5 0.500 0.000 0.147
Ge6 0.500 0.000 0.435
Ge7 0.500 0.500 0.611
Ge8 0.500 0.500 0.966
Pd1 0.000 0.500 0.703

Computed properties:
Its calculated formation energy is -0.1756 eV per atom. The spin magnetization comes out at 14.75 μB per cell. Its electronic total energy is -7.3982 eV per atom.

=====

(16)
VASP calculation (PBE) on crystalline Np3Ge4Pd4 at its relaxed geometry.

Cell: 4.263 7.097 13.837 Å, 90.00 90.00 90.00°
Space group Immm (No. 71)
Symmetry-distinct sites (fractional):
Np1 0.000 0.000 0.000
Np2 0.000 0.500 0.118
Ge1 0.000 0.000 0.217
Ge2 0.000 0.197 0.500
Pd1 0.000 0.300 0.322

Computed properties:
Its calculated formation energy is -0.4296 eV per atom. The spin magnetization comes out at 23.17 μB per cell. Its electronic total energy is -7.5263 eV per atom.

=====

(17)
VASP calculation (PBE) on crystalline Np4Ge6Pd5 at its relaxed geometry.

Cell: 4.204 19.078 14.971 Å, 90.00 90.00 90.00°
Space group Cmc2_1 (No. 36)
Symmetry-distinct sites (fractional):
Np1 0.000 0.010 0.000
Np2 0.000 0.026 0.262
Np3 0.000 0.162 0.804
Np4 0.000 0.176 0.434
Ge1 0.000 0.117 0.615
Ge2 0.000 0.224 0.984
Ge3 0.000 0.235 0.255
Ge4 0.000 0.423 0.625
Ge5 0.000 0.427 0.900
Ge6 0.000 0.440 0.358
Pd1 0.000 0.151 0.124
Pd2 0.000 0.305 0.116
Pd3 0.000 0.342 0.766
Pd4 0.000 0.352 0.482
Pd5 0.000 0.447 0.174

Computed properties:
Its calculated formation energy is -0.3177 eV per atom. The spin magnetization comes out at 0.99 μB per cell. Its electronic total energy is -7.3464 eV per atom.

=====

(18)
VASP calculation (PBE) on crystalline NpGe2Pd2 at its relaxed geometry.

Cell: 4.073 11.713 7.772 Å, 90.00 90.00 90.00°
Space group Cmc2_1 (No. 36)
Symmetry-distinct sites (fractional):
Np1 0.000 0.091 0.000
Ge1 0.000 0.246 0.313
Ge2 0.000 0.447 0.187
Pd1 0.000 0.187 0.622
Pd2 0.000 0.378 0.869

Computed properties:
Its calculated formation energy is -0.4316 eV per atom. The spin magnetization comes out at 15.82 μB per cell. Its electronic total energy is -6.9438 eV per atom.